(1)
A plane-wave DFT calculation with PBE-GGA was carried out for a relaxed MnMoH3 crystal.

```
MnMoH3
1.0
3.503 0.000 0.000
0.000 3.503 0.000
0.000 0.000 3.503
Mn Mo H
1 1 3
direct
0.000 0.000 0.000
0.500 0.500 0.500
0.000 0.500 0.500
0.500 0.000 0.500
0.500 0.500 0.000
```

## Properties
The size of the total moment comes out at 0.801 μB per atom. As for the space-group type: Pm-3m. The density of states at the Fermi level comes out at 0.2515 states/eV per atom. As for the electronic total energy: -28.6 eV for the cell shown.

***

(2)
A plane-wave DFT calculation with PBE-GGA was carried out for a relaxed MnMoH2 crystal.

```
MnMoH2
1.0
5.606 0.000 0.000
0.000 4.864 0.000
-0.001 0.000 4.461
Mn Mo H
4 4 8
direct
0.117 0.086 0.250
0.117 0.414 0.750
0.883 0.586 0.250
0.883 0.914 0.750
0.364 0.583 0.250
0.364 0.917 0.750
0.636 0.083 0.250
0.636 0.417 0.750
0.099 0.749 0.501
0.099 0.751 0.001
0.349 0.250 0.000
0.349 0.250 0.500
0.651 0.750 0.000
0.651 0.750 0.500
0.901 0.249 0.999
0.901 0.251 0.499
```

## Properties
The size of the total moment comes out at 0.000 μB per atom. As for the space-group type: P2_1/c. The density of states at the Fermi level comes out at 0.6316 states/eV per atom. As for the electronic total energy: -107.0 eV for the cell shown.

***

(3)
A plane-wave DFT calculation with PBE-GGA was carried out for a relaxed MnMo2H crystal.

```
MnMo2H
1.0
3.580 0.000 0.000
-1.790 3.100 0.000
0.000 0.000 17.385
Mn Mo H
3 6 3
direct
0.000 0.000 0.000
0.333 0.667 0.667
0.667 0.333 0.333
0.000 0.000 0.396
0.000 0.000 0.604
0.333 0.667 0.063
0.333 0.667 0.271
0.667 0.333 0.729
0.667 0.333 0.937
0.000 0.000 0.500
0.333 0.667 0.167
0.667 0.333 0.833
```

## Properties
The size of the total moment comes out at 0.000 μB per atom. As for the space-group type: R-3m. The density of states at the Fermi level comes out at 0.5442 states/eV per atom. As for the electronic total energy: -94.2 eV for the cell shown.

***

(4)
A plane-wave DFT calculation with PBE-GGA was carried out for a relaxed Mn3MoH4 crystal.

```
Mn3MoH4
1.0
3.852 0.000 0.000
0.000 3.852 0.000
0.000 0.000 7.807
Mn Mo H
6 2 8
direct
0.000 0.000 0.000
0.000 0.500 0.250
0.000 0.500 0.750
0.500 0.000 0.250
0.500 0.000 0.750
0.500 0.500 0.500
0.000 0.000 0.500
0.500 0.500 0.000
0.000 0.000 0.248
0.000 0.000 0.752
0.000 0.500 0.000
0.000 0.500 0.500
0.500 0.000 0.000
0.500 0.000 0.500
0.500 0.500 0.252
0.500 0.500 0.748
```

## Properties
The size of the total moment comes out at 0.036 μB per atom. As for the space-group type: I4/mmm. The density of states at the Fermi level comes out at 0.4757 states/eV per atom. As for the electronic total energy: -103.8 eV for the cell shown.

***

(5)
A plane-wave DFT calculation with PBE-GGA was carried out for a relaxed Mn2MoH2 crystal.

```
Mn2MoH2
1.0
5.677 0.000 0.000
0.000 5.677 0.000
0.000 0.000 2.705
Mn Mo H
4 2 4
direct
0.128 0.372 0.000
0.372 0.872 0.000
0.628 0.128 0.000
0.872 0.628 0.000
0.000 0.000 0.500
0.500 0.500 0.500
0.151 0.651 0.500
0.349 0.151 0.500
0.651 0.849 0.500
0.849 0.349 0.500
```

## Properties
The size of the total moment comes out at 0.000 μB per atom. As for the space-group type: P4/mbm. The density of states at the Fermi level comes out at 0.8614 states/eV per atom. As for the electronic total energy: -68.5 eV for the cell shown.

***

(6)
A plane-wave DFT calculation with PBE-GGA was carried out for a relaxed MnMoH3 crystal.

```
MnMoH3
1.0
3.270 0.000 0.000
0.000 3.270 0.000
0.000 0.000 3.270
Mn Mo H
1 1 3
direct
0.000 0.000 0.000
0.500 0.500 0.500
0.000 0.000 0.500
0.000 0.500 0.000
0.500 0.000 0.000
```

## Properties
The size of the total moment comes out at 0.394 μB per atom. As for the space-group type: Pm-3m. The density of states at the Fermi level comes out at 0.4948 states/eV per atom. As for the electronic total energy: -28.9 eV for the cell shown.

***

(7)
A plane-wave DFT calculation with PBE-GGA was carried out for a relaxed MnMo2H crystal.

```
MnMo2H
1.0
5.780 0.000 0.000
0.000 5.780 0.000
0.000 0.000 5.780
Mn Mo H
4 8 4
direct
0.000 0.000 0.000
0.000 0.500 0.500
0.500 0.000 0.500
0.500 0.500 0.000
0.250 0.250 0.250
0.250 0.250 0.750
0.250 0.750 0.250
0.250 0.750 0.750
0.750 0.250 0.250
0.750 0.250 0.750
0.750 0.750 0.250
0.750 0.750 0.750
0.000 0.000 0.500
0.000 0.500 0.000
0.500 0.000 0.000
0.500 0.500 0.500
```

## Properties
The size of the total moment comes out at 0.000 μB per atom. As for the space-group type: Fm-3m. The density of states at the Fermi level comes out at 1.4844 states/eV per atom. As for the electronic total energy: -127.1 eV for the cell shown.

***

(8)
A plane-wave DFT calculation with PBE-GGA was carried out for a relaxed MnMo3H crystal.

```
MnMo3H
1.0
3.950 0.000 0.000
0.000 3.950 0.000
0.000 0.000 3.950
Mn Mo H
1 3 1
direct
0.000 0.000 0.000
0.000 0.500 0.500
0.500 0.000 0.500
0.500 0.500 0.000
0.500 0.500 0.500
```

## Properties
The size of the total moment comes out at 0.000 μB per atom. As for the space-group type: Pm-3m. The density of states at the Fermi level comes out at 1.3071 states/eV per atom. As for the electronic total energy: -43.7 eV for the cell shown.

***

(9)
A plane-wave DFT calculation with PBE-GGA was carried out for a relaxed MnMo2H2 crystal.

```
MnMo2H2
1.0
2.853 0.000 0.000
0.000 2.853 0.000
0.000 0.000 11.821
Mn Mo H
2 4 4
direct
0.000 0.000 0.000
0.500 0.500 0.500
0.000 0.000 0.361
0.000 0.000 0.639
0.500 0.500 0.139
0.500 0.500 0.861
0.000 0.500 0.250
0.000 0.500 0.750
0.500 0.000 0.250
0.500 0.000 0.750
```

## Properties
The size of the total moment comes out at 0.000 μB per atom. As for the space-group type: I4/mmm. The density of states at the Fermi level comes out at 0.5347 states/eV per atom. As for the electronic total energy: -74.1 eV for the cell shown.

***

(10)
A plane-wave DFT calculation with PBE-GGA was carried out for a relaxed MnMo3H crystal.

```
MnMo3H
1.0
4.456 0.000 0.000
0.000 4.456 0.000
0.000 0.000 4.456
Mn Mo H
1 3 1
direct
0.000 0.000 0.000
0.000 0.000 0.500
0.000 0.500 0.000
0.500 0.000 0.000
0.500 0.500 0.500
```

## Properties
The size of the total moment comes out at 0.000 μB per atom. As for the space-group type: Pm-3m. The density of states at the Fermi level comes out at 1.1892 states/eV per atom. As for the electronic total energy: -35.7 eV for the cell shown.

***

(11)
A plane-wave DFT calculation with PBE-GGA was carried out for a relaxed Mn3MoH crystal.

```
Mn3MoH
1.0
3.710 0.000 0.000
0.000 3.710 0.000
0.000 0.000 3.710
Mn Mo H
3 1 1
direct
0.000 0.000 0.500
0.000 0.500 0.000
0.500 0.000 0.000
0.500 0.500 0.500
0.000 0.000 0.000
```

## Properties
The size of the total moment comes out at 0.676 μB per atom. As for the space-group type: Pm-3m. The density of states at the Fermi level comes out at 0.8538 states/eV per atom. As for the electronic total energy: -41.3 eV for the cell shown.

***

(12)
A plane-wave DFT calculation with PBE-GGA was carried out for a relaxed MnMoH2 crystal.

```
MnMoH2
1.0
2.788 0.000 0.000
-1.394 2.415 0.000
0.000 0.000 13.543
Mn Mo H
3 3 6
direct
0.000 0.000 0.000
0.333 0.667 0.667
0.667 0.333 0.333
0.000 0.000 0.500
0.333 0.667 0.167
0.667 0.333 0.833
0.000 0.000 0.266
0.000 0.000 0.734
0.333 0.667 0.401
0.333 0.667 0.932
0.667 0.333 0.068
0.667 0.333 0.599
```

## Properties
The size of the total moment comes out at 0.000 μB per atom. As for the space-group type: R-3m. The density of states at the Fermi level comes out at 0.7128 states/eV per atom. As for the electronic total energy: -79.7 eV for the cell shown.

***

Which formula does entry 2 have?
MnMoH2